# 1
The following is a PBE calculation of a relaxed structure of Zr2Pt2Br, from Alexandria via LeMat-Bulk.

a = 7.701 Å, b = 7.701 Å, c = 3.442 Å
α = 90.00°, β = 90.00°, γ = 90.00°
Sites, in units of the cell vectors:
Zr  0.162  0.338  0.000
Zr  0.338  0.838  0.000
Zr  0.662  0.162  0.000
Zr  0.838  0.662  0.000
Pt  0.130  0.630  0.500
Pt  0.370  0.130  0.500
Pt  0.630  0.870  0.500
Pt  0.870  0.370  0.500
Br  0.000  0.000  0.000
Br  0.500  0.500  0.000

Results
Volume, A^3/atom: 20.42
VASP energy, eV/atom: -6.974
Formation energy without anion corrections, eV/atom: -0.8039

=====

# 2
The following is a PBE calculation of a relaxed structure of CrPtW2, from Alexandria via LeMat-Bulk.

a = 4.789 Å, b = 4.789 Å, c = 4.902 Å
α = 98.22°, β = 98.22°, γ = 32.69°
Sites, in units of the cell vectors:
Cr  0.000  0.000  0.000
Pt  0.260  0.260  0.754
W  0.511  0.511  0.508
W  0.753  0.753  0.238

Results
Volume, A^3/atom: 15.01
Formation enthalpy at 0 K, meV per atom: 92
VASP energy, eV/atom: -10.300

=====

# 3
The following is a PBE calculation of a relaxed structure of RbAg2Au2, from Alexandria via LeMat-Bulk.

a = 8.621 Å, b = 8.621 Å, c = 3.001 Å
α = 90.00°, β = 90.00°, γ = 90.00°
Sites, in units of the cell vectors:
Rb  0.000  0.000  0.000
Rb  0.500  0.500  0.000
Ag  0.118  0.382  0.000
Ag  0.382  0.882  0.000
Ag  0.618  0.118  0.000
Ag  0.882  0.618  0.000
Au  0.177  0.677  0.500
Au  0.323  0.177  0.500
Au  0.677  0.823  0.500
Au  0.823  0.323  0.500

Results
Volume, A^3/atom: 22.30
Formation enthalpy at 0 K, meV per atom: -48
VASP energy, eV/atom: -2.693